1.
POsPt2 | PBE | relaxed

a = 2.761 Å, b = 2.761 Å, c = 9.265 Å
α = 90.00°, β = 90.00°, γ = 120.91°
Fractional coordinates of all 4 atoms:
P1 0.000 0.000 0.000
Os1 0.000 0.000 0.500
Pt1 0.500 0.500 0.243
Pt2 0.500 0.500 0.757

Output
Energy ... -6.83 eV per atom
Total magnetic moment ... 0.00 μB per atom
Formation energy from the elements ... 1.410 eV/f.u.

=====

2.
P3OsPt | PBE | relaxed

a = 4.545 Å, b = 4.545 Å, c = 4.545 Å
α = 90.00°, β = 90.00°, γ = 90.00°
Fractional coordinates of all 5 atoms:
P1 0.000 0.000 0.500
P2 0.000 0.500 0.000
P3 0.500 0.000 0.000
Os1 0.000 0.000 0.000
Pt1 0.500 0.500 0.500

Output
Offset from the most stable computed form ... 0 meV/atom
Energy ... -5.81 eV per atom
Total magnetic moment ... 0.00 μB per atom
Formation energy from the elements ... 4.432 eV/f.u.

=====

3.
POsPt2 | PBE | relaxed

a = 5.353 Å, b = 5.353 Å, c = 5.353 Å
α = 147.63°, β = 133.14°, γ = 58.10°
Fractional coordinates of all 4 atoms:
P1 0.000 0.000 0.000
Os1 0.191 0.691 0.500
Pt1 0.488 0.488 0.000
Pt2 0.796 0.296 0.500

Output
Energy ... -7.08 eV per atom
Total magnetic moment ... 0.00 μB per atom
Formation energy from the elements ... 0.395 eV/f.u.

=====

4.
POsPt2 | PBE | relaxed

a = 5.962 Å, b = 5.962 Å, c = 5.962 Å
α = 152.37°, β = 141.64°, γ = 47.93°
Fractional coordinates of all 4 atoms:
P1 0.000 0.000 0.000
Os1 0.500 0.500 0.000
Pt1 0.185 0.685 0.500
Pt2 0.815 0.315 0.500

Output
Energy ... -7.08 eV per atom
Total magnetic moment ... 0.00 μB per atom
Formation energy from the elements ... 0.408 eV/f.u.

=====

5.
POsPt2 | PBE | relaxed

a = 4.540 Å, b = 4.540 Å, c = 4.540 Å
α = 125.90°, β = 125.90°, γ = 80.05°
Fractional coordinates of all 4 atoms:
P1 0.000 0.000 0.000
Os1 0.750 0.250 0.500
Pt1 0.250 0.750 0.500
Pt2 0.500 0.500 0.000

Output
Energy ... -6.86 eV per atom
Total magnetic moment ... 0.00 μB per atom
Formation energy from the elements ... 1.284 eV/f.u.

=====

6.
POsPt | PBE | relaxed

a = 3.980 Å, b = 3.980 Å, c = 3.980 Å
α = 60.00°, β = 60.00°, γ = 60.00°
Fractional coordinates of all 3 atoms:
P1 0.000 0.000 0.000
Os1 0.750 0.750 0.750
Pt1 0.250 0.250 0.250

Output
Offset from the most stable computed form ... 0 meV/atom
Energy ... -7.75 eV per atom
Total magnetic moment ... 0.00 μB per atom
Formation energy from the elements ... -0.564 eV/f.u.

=====

7.
POsPt3 | PBE | relaxed

a = 4.804 Å, b = 4.804 Å, c = 4.804 Å
α = 90.00°, β = 90.00°, γ = 90.00°
Fractional coordinates of all 5 atoms:
P1 0.000 0.000 0.000
Os1 0.500 0.500 0.500
Pt1 0.000 0.500 0.500
Pt2 0.500 0.000 0.500
Pt3 0.500 0.500 0.000

Output
Offset from the most stable computed form ... 788 meV/atom
Energy ... -5.32 eV per atom
Total magnetic moment ... 0.00 μB per atom
Formation energy from the elements ... 8.185 eV/f.u.

=====

8.
POsPt2 | PBE | relaxed

a = 2.835 Å, b = 2.835 Å, c = 7.414 Å
α = 90.00°, β = 90.00°, γ = 90.00°
Fractional coordinates of all 4 atoms:
P1 0.000 0.000 0.000
Os1 0.000 0.000 0.500
Pt1 0.500 0.500 0.243
Pt2 0.500 0.500 0.757

Output
Energy ... -6.93 eV per atom
Total magnetic moment ... 0.00 μB per atom
Formation energy from the elements ... 1.002 eV/f.u.

=====

9.
POs4Pt | PBE | relaxed

a = 5.154 Å, b = 5.154 Å, c = 5.154 Å
α = 60.00°, β = 60.00°, γ = 60.00°
Fractional coordinates of all 6 atoms:
P1 0.000 0.000 0.000
Os1 0.375 0.375 0.375
Os2 0.375 0.375 0.874
Os3 0.375 0.874 0.375
Os4 0.874 0.375 0.375
Pt1 0.750 0.750 0.750

Output
Energy ... -8.31 eV per atom
Total magnetic moment ... 0.00 μB per atom
Formation energy from the elements ... 6.533 eV/f.u.

=====

10.
POsPt2 | PBE | relaxed

a = 7.337 Å, b = 7.337 Å, c = 7.337 Å
α = 140.43°, β = 140.43°, γ = 57.21°
Fractional coordinates of all 8 atoms:
P1 0.000 0.000 0.000
P2 0.750 0.250 0.500
Os1 0.250 0.750 0.500
Os2 0.500 0.500 0.000
Pt1 0.091 0.625 0.966
Pt2 0.375 0.341 0.466
Pt3 0.659 0.125 0.034
Pt4 0.875 0.909 0.534

Output
Energy ... -6.62 eV per atom
Total magnetic moment ... 0.00 μB per atom
Formation energy from the elements ... 2.244 eV/f.u.

=====

11.
POsPt2 | PBE | relaxed

a = 4.767 Å, b = 4.767 Å, c = 2.847 Å
α = 90.00°, β = 90.00°, γ = 113.10°
Fractional coordinates of all 4 atoms:
P1 0.000 0.000 0.000
Os1 0.500 0.500 0.000
Pt1 0.000 0.500 0.500
Pt2 0.500 0.000 0.500

Output
Energy ... -6.95 eV per atom
Total magnetic moment ... 0.00 μB per atom
Formation energy from the elements ... 0.937 eV/f.u.

=====

12.
POsPt | PBE | relaxed

a = 4.152 Å, b = 4.152 Å, c = 4.152 Å
α = 60.00°, β = 60.00°, γ = 60.00°
Fractional coordinates of all 3 atoms:
P1 0.000 0.000 0.000
Os1 0.750 0.750 0.750
Pt1 0.500 0.500 0.500

Output
Offset from the most stable computed form ... 419 meV/atom
Energy ... -7.33 eV per atom
Total magnetic moment ... 0.00 μB per atom
Formation energy from the elements ... 0.693 eV/f.u.

=====

13.
POsPt2 | PBE | relaxed

a = 2.863 Å, b = 2.863 Å, c = 8.590 Å
α = 90.00°, β = 90.00°, γ = 120.40°
Fractional coordinates of all 4 atoms:
P1 0.000 0.000 0.000
Os1 0.500 0.500 0.792
Pt1 0.000 0.000 0.513
Pt2 0.500 0.500 0.230

Output
Energy ... -6.92 eV per atom
Total magnetic moment ... 0.00 μB per atom
Formation energy from the elements ... 1.024 eV/f.u.

=====

14.
POsPt2 | PBE | relaxed

a = 3.762 Å, b = 3.762 Å, c = 4.157 Å
α = 90.00°, β = 90.00°, γ = 90.00°
Fractional coordinates of all 4 atoms:
P1 0.000 0.000 0.000
Os1 0.500 0.500 0.000
Pt1 0.000 0.500 0.500
Pt2 0.500 0.000 0.500

Output
Energy ... -6.88 eV per atom
Total magnetic moment ... 0.00 μB per atom
Formation energy from the elements ... 1.202 eV/f.u.

=====

15.
POsPt2 | PBE | relaxed

a = 4.382 Å, b = 4.382 Å, c = 4.382 Å
α = 60.00°, β = 60.00°, γ = 60.00°
Fractional coordinates of all 4 atoms:
P1 0.000 0.000 0.000
Os1 0.750 0.750 0.750
Pt1 0.250 0.250 0.250
Pt2 0.500 0.500 0.500

Output
Energy ... -6.83 eV per atom
Total magnetic moment ... 0.00 μB per atom
Formation energy from the elements ... 1.395 eV/f.u.

=====

16.
POsPt2 | PBE | relaxed

a = 4.745 Å, b = 4.745 Å, c = 2.713 Å
α = 90.00°, β = 90.00°, γ = 90.00°
Fractional coordinates of all 4 atoms:
P1 0.000 0.000 0.000
Os1 0.500 0.500 0.000
Pt1 0.000 0.500 0.500
Pt2 0.500 0.000 0.500

Output
Energy ... -6.83 eV per atom
Total magnetic moment ... 0.00 μB per atom
Formation energy from the elements ... 1.406 eV/f.u.

=====

17.
POsPt | PBE | relaxed

a = 3.879 Å, b = 3.879 Å, c = 3.446 Å
α = 90.00°, β = 90.00°, γ = 120.00°
Fractional coordinates of all 3 atoms:
P1 0.000 0.000 0.000
Os1 0.333 0.667 0.864
Pt1 0.667 0.333 0.373

Output
Offset from the most stable computed form ... 158 meV/atom
Energy ... -7.59 eV per atom
Total magnetic moment ... 0.00 μB per atom
Formation energy from the elements ... -0.088 eV/f.u.

=====

18.
P4OsPt | PBE | relaxed

a = 4.942 Å, b = 4.942 Å, c = 4.942 Å
α = 60.00°, β = 60.00°, γ = 60.00°
Fractional coordinates of all 6 atoms:
P1 0.376 0.376 0.376
P2 0.376 0.376 0.873
P3 0.376 0.873 0.376
P4 0.873 0.376 0.376
Os1 0.750 0.750 0.750
Pt1 0.000 0.000 0.000

Output
Energy ... -5.55 eV per atom
Total magnetic moment ... 0.00 μB per atom
Formation energy from the elements ... 5.637 eV/f.u.

=====

19.
POsPt2 | PBE | relaxed

a = 4.916 Å, b = 4.916 Å, c = 4.916 Å
α = 134.47°, β = 134.47°, γ = 66.36°
Fractional coordinates of all 4 atoms:
P1 0.000 0.000 0.000
Os1 0.500 0.500 0.000
Pt1 0.250 0.750 0.500
Pt2 0.750 0.250 0.500

Output
Energy ... -6.74 eV per atom
Total magnetic moment ... 0.10 μB per atom
Formation energy from the elements ... 1.772 eV/f.u.

=====

20.
POsPt2 | PBE | relaxed

a = 8.445 Å, b = 8.445 Å, c = 8.445 Å
α = 19.48°, β = 19.48°, γ = 19.48°
Fractional coordinates of all 4 atoms:
P1 0.000 0.000 0.000
Os1 0.735 0.735 0.735
Pt1 0.257 0.257 0.257
Pt2 0.494 0.494 0.494

Output
Energy ... -7.24 eV per atom
Total magnetic moment ... 0.00 μB per atom
Formation energy from the elements ... -0.232 eV/f.u.

=====

21.
POsPt2 | PBE | relaxed

a = 8.519 Å, b = 8.519 Å, c = 8.519 Å
α = 19.27°, β = 19.27°, γ = 19.27°
Fractional coordinates of all 4 atoms:
P1 0.000 0.000 0.000
Os1 0.500 0.500 0.500
Pt1 0.257 0.257 0.257
Pt2 0.743 0.743 0.743

Output
Energy ... -7.01 eV per atom
Total magnetic moment ... 0.00 μB per atom
Formation energy from the elements ... 0.683 eV/f.u.

=====

22.
POsPt | PBE | relaxed

a = 6.673 Å, b = 6.338 Å, c = 2.921 Å
α = 83.53°, β = 70.69°, γ = 25.78°
Fractional coordinates of all 3 atoms:
P1 0.000 0.000 0.000
Os1 0.641 0.641 0.359
Pt1 0.340 0.340 0.660

Output
Offset from the most stable computed form ... 536 meV/atom
Energy ... -7.21 eV per atom
Total magnetic moment ... 0.00 μB per atom
Formation energy from the elements ... 1.045 eV/f.u.

=====

23.
POsPt2 | PBE | relaxed

a = 3.152 Å, b = 3.892 Å, c = 5.106 Å
α = 90.00°, β = 105.99°, γ = 90.00°
Fractional coordinates of all 4 atoms:
P1 0.000 0.000 0.000
Os1 0.000 0.000 0.500
Pt1 0.368 0.500 0.231
Pt2 0.632 0.500 0.769

Output
Energy ... -6.96 eV per atom
Total magnetic moment ... 0.00 μB per atom
Formation energy from the elements ... 0.898 eV/f.u.

=====

24.
POsPt2 | PBE | relaxed

a = 2.883 Å, b = 2.883 Å, c = 7.017 Å
α = 90.00°, β = 90.00°, γ = 90.00°
Fractional coordinates of all 4 atoms:
P1 0.000 0.000 0.000
Os1 0.500 0.500 0.814
Pt1 0.000 0.000 0.532
Pt2 0.500 0.500 0.237

Output
Energy ... -7.13 eV per atom
Total magnetic moment ... 0.00 μB per atom
Formation energy from the elements ... 0.209 eV/f.u.

=====

25.
POsPt2 | PBE | relaxed

a = 3.603 Å, b = 5.288 Å, c = 5.288 Å
α = 36.92°, β = 90.00°, γ = 90.00°
Fractional coordinates of all 4 atoms:
P1 0.000 0.000 0.000
Os1 0.500 0.861 0.861
Pt1 0.000 0.229 0.229
Pt2 0.500 0.587 0.587

Output
Energy ... -7.19 eV per atom
Total magnetic moment ... 0.00 μB per atom
Formation energy from the elements ... -0.050 eV/f.u.

=====

26.
POsPt2 | PBE | relaxed

a = 4.393 Å, b = 4.393 Å, c = 5.475 Å
α = 106.90°, β = 106.90°, γ = 37.69°
Fractional coordinates of all 4 atoms:
P1 0.000 0.000 0.000
Os1 0.268 0.268 0.922
Pt1 0.482 0.482 0.610
Pt2 0.695 0.695 0.328

Output
Energy ... -7.11 eV per atom
Total magnetic moment ... 0.00 μB per atom
Formation energy from the elements ... 0.278 eV/f.u.

=====

27.
POsPt | PBE | relaxed

a = 5.390 Å, b = 5.390 Å, c = 5.390 Å
α = 148.44°, β = 148.44°, γ = 45.24°
Fractional coordinates of all 3 atoms:
P1 0.000 0.000 0.000
Os1 0.621 0.621 0.000
Pt1 0.332 0.332 0.000

Output
Offset from the most stable computed form ... 297 meV/atom
Energy ... -7.45 eV per atom
Total magnetic moment ... 0.00 μB per atom
Formation energy from the elements ... 0.327 eV/f.u.

=====

28.
POsPt3 | PBE | relaxed

a = 4.459 Å, b = 4.459 Å, c = 4.459 Å
α = 90.00°, β = 90.00°, γ = 90.00°
Fractional coordinates of all 5 atoms:
P1 0.000 0.000 0.000
Os1 0.500 0.500 0.500
Pt1 0.000 0.000 0.500
Pt2 0.000 0.500 0.000
Pt3 0.500 0.000 0.000

Output
Offset from the most stable computed form ... 0 meV/atom
Energy ... -6.10 eV per atom
Total magnetic moment ... 0.57 μB per atom
Formation energy from the elements ... 4.243 eV/f.u.

=====

29.
POsPt2 | PBE | relaxed

a = 2.844 Å, b = 4.493 Å, c = 4.667 Å
α = 90.00°, β = 90.00°, γ = 90.00°
Fractional coordinates of all 4 atoms:
P1 0.000 0.000 0.000
Os1 0.500 0.500 0.000
Pt1 0.000 0.500 0.500
Pt2 0.500 0.000 0.500

Output
Energy ... -6.85 eV per atom
Total magnetic moment ... 0.00 μB per atom
Formation energy from the elements ... 1.308 eV/f.u.

=====

30.
RbPOsPt | PBE | relaxed

a = 3.850 Å, b = 3.850 Å, c = 12.965 Å
α = 90.00°, β = 90.00°, γ = 90.00°
Fractional coordinates of all 8 atoms:
Rb1 0.250 0.250 0.224
Rb2 0.750 0.750 0.776
P1 0.250 0.250 0.604
P2 0.750 0.750 0.396
Os1 0.250 0.750 0.500
Os2 0.750 0.250 0.500
Pt1 0.250 0.750 0.000
Pt2 0.750 0.250 0.000

Output
Energy ... -6.06 eV per atom
Total magnetic moment ... 0.00 μB per atom
Formation energy from the elements ... -0.608 eV/f.u.